[1]
La4CoCl (GGA-PBEsol, relaxed); raw formation energy = 0.551 eV/atom; volume = 27.88 Å³/atom; SG = F-43m; total energy = -0.3408 Ry/atom
1.0
6.184 0.000 0.000
3.092 5.356 0.000
3.092 1.785 5.050
Co La Cl
1 4 1
direct
0.000 0.000 0.000 Co
0.876 0.375 0.375 La
0.375 0.375 0.876 La
0.375 0.876 0.375 La
0.375 0.375 0.375 La
0.750 0.750 0.750 Cl

---

[2]
Y2TlPt (GGA-PBEsol, relaxed); offset from the most stable computed form = 60 meV/atom; volume = 23.86 Å³/atom; SG = Amm2; total energy = -0.4829 Ry/atom; formation energy = -0.76 eV per atom
1.0
3.766 0.000 0.000
0.000 4.531 0.000
-1.883 0.000 5.593
Tl Pt Y
1 1 2
direct
0.671 0.500 0.343 Tl
0.842 0.000 0.683 Pt
0.101 0.000 0.202 Y
0.393 0.500 0.786 Y

---

[3]
Li3GaH (GGA-PBEsol, relaxed); volume = 12.23 Å³/atom; SG = Pm-3m; total energy = -0.2019 Ry/atom
1.0
3.940 0.000 0.000
0.000 3.940 0.000
0.000 0.000 3.940
Li H Ga
3 1 1
direct
0.000 0.000 0.500 Li
0.500 0.000 0.000 Li
0.000 0.500 0.000 Li
0.000 0.000 0.000 H
0.500 0.500 0.500 Ga

---

[4]
LiCdPt2 (GGA-PBEsol, relaxed); volume = 14.61 Å³/atom; SG = P4/mmm; total energy = -0.3395 Ry/atom; formation energy = -0.35 eV per atom
1.0
-2.369 -0.408 1.767
-1.101 -1.987 -1.934
3.172 -4.814 3.141
Li Pt Cd
1 2 1
direct
0.500 0.500 0.500 Li
0.000 0.000 0.717 Pt
0.000 0.000 0.283 Pt
0.500 0.500 0.000 Cd

---

[5]
HfMnTl2Pt (GGA-PBEsol, relaxed); volume = 22.13 Å³/atom; SG = P4/mmm; total energy = -0.4179 Ry/atom; formation energy = 0.81 eV per atom
1.0
-3.594 -2.514 -1.714
1.088 -3.622 3.032
-2.937 1.919 3.346
Pt Tl Hf Mn
1 2 1 1
direct
0.500 0.000 0.000 Pt
0.000 0.500 0.000 Tl
0.000 0.000 0.500 Tl
0.500 0.500 0.500 Hf
0.000 0.000 0.000 Mn

---

[6]
Mg5Zn4 (GGA-PBEsol, relaxed); offset from the most stable computed form = 18 meV/atom; volume = 17.89 Å³/atom; SG = I4/mmm; total energy = -0.1222 Ry/atom; formation energy = -0.01 eV per atom
1.0
4.243 0.000 0.000
2.122 6.160 0.000
2.122 0.000 6.160
Zn Mg
4 5
direct
0.000 0.654 0.346 Zn
0.000 0.346 0.654 Zn
0.654 0.346 0.346 Zn
0.346 0.654 0.654 Zn
0.328 0.000 0.344 Mg
0.672 0.656 0.000 Mg
0.000 0.000 0.000 Mg
0.328 0.344 0.000 Mg
0.672 0.000 0.656 Mg

---

[7]
MgAuBr2 (GGA-PBEsol, relaxed); offset from the most stable computed form = 249 meV/atom; raw formation energy = -0.268 eV/atom; volume = 22.99 Å³/atom; SG = Pmmm; total energy = -0.1921 Ry/atom
1.0
-3.668 -1.196 0.313
1.193 -3.784 -0.468
0.671 -0.517 5.885
Br Au Mg
2 1 1
direct
0.500 0.000 0.500 Br
0.000 0.000 0.000 Br
0.000 0.500 0.500 Au
0.500 0.500 0.000 Mg

---

[8]
Ti3N2O3 (GGA-PBEsol, relaxed); offset from the most stable computed form = 3 meV/atom; raw formation energy = -2.405 eV/atom; volume = 11.34 Å³/atom; SG = Cmcm; total energy = -0.7075 Ry/atom
1.0
-2.193 2.823 -1.330
-0.067 -4.129 -3.187
-7.661 -3.650 4.889
Ti O N
6 6 4
direct
0.144 0.288 0.947 Ti
0.856 0.712 0.053 Ti
0.800 0.600 0.750 Ti
0.144 0.288 0.553 Ti
0.200 0.400 0.250 Ti
0.856 0.712 0.447 Ti
0.248 0.496 0.750 O
0.045 0.090 0.381 O
0.045 0.090 0.119 O
0.955 0.910 0.619 O
0.955 0.910 0.881 O
0.752 0.503 0.250 O
0.692 0.384 0.923 N
0.308 0.616 0.077 N
0.308 0.616 0.423 N
0.692 0.384 0.577 N

---

[9]
Cd2OsSe (GGA-PBEsol, relaxed); raw formation energy = 0.211 eV/atom; volume = 19.07 Å³/atom; SG = P4mm; total energy = -0.3237 Ry/atom
1.0
2.991 0.000 0.000
0.000 2.991 0.000
0.000 0.000 8.527
Se Cd Os
1 2 1
direct
0.500 0.500 0.681 Se
0.000 0.000 0.011 Cd
0.500 0.500 0.283 Cd
0.000 0.000 0.525 Os

---

[10]
CaRuW2 (GGA-PBEsol, relaxed); offset from the most stable computed form = 194 meV/atom; volume = 16.43 Å³/atom; SG = C2/m; total energy = -0.6828 Ry/atom; formation energy = 0.69 eV per atom
1.0
2.728 -0.001 0.000
-1.070 5.111 0.000
-0.829 -2.555 4.712
W Ru Ca
2 1 1
direct
0.000 0.000 0.500 W
0.500 0.500 0.500 W
0.000 0.500 0.000 Ru
0.500 0.000 0.000 Ca

---

[11]
DyYIr2 (GGA-PBEsol, relaxed); volume = 19.27 Å³/atom; SG = Fm-3m; total energy = -0.6350 Ry/atom; formation energy = -0.78 eV per atom
1.0
-3.467 0.811 3.185
0.666 -1.127 4.594
0.510 3.457 3.257
Y Ir Dy
1 2 1
direct
0.000 0.000 0.000 Y
0.250 0.250 0.250 Ir
0.750 0.750 0.750 Ir
0.500 0.500 0.500 Dy

---

[12]
Li2CuSiO4 (GGA-PBEsol, relaxed); offset from the most stable computed form = 15 meV/atom; raw formation energy = -1.986 eV/atom; volume = 10.16 Å³/atom; SG = Pna2_1; total energy = -0.4676 Ry/atom
1.0
-4.630 -1.349 0.630
-0.304 -1.741 -5.960
3.250 -9.881 2.722
Li O Si Cu
8 16 4 4
direct
0.205 0.371 0.412 Li
0.295 0.371 0.912 Li
0.795 0.871 0.588 Li
0.705 0.871 0.088 Li
0.796 0.617 0.833 Li
0.204 0.117 0.167 Li
0.296 0.117 0.667 Li
0.704 0.617 0.333 Li
0.197 0.833 0.595 O
0.193 0.618 0.813 O
0.303 0.833 0.095 O
0.356 0.117 0.332 O
0.202 0.399 0.594 O
0.798 0.899 0.406 O
0.807 0.118 0.187 O
0.307 0.618 0.313 O
0.644 0.617 0.668 O
0.697 0.333 0.905 O
0.702 0.899 0.906 O
0.693 0.118 0.687 O
0.144 0.117 0.832 O
0.803 0.333 0.405 O
0.298 0.399 0.094 O
0.856 0.617 0.168 O
0.195 0.616 0.168 Si
0.805 0.116 0.832 Si
0.695 0.116 0.332 Si
0.305 0.616 0.668 Si
0.217 0.870 0.418 Cu
0.783 0.370 0.582 Cu
0.717 0.370 0.082 Cu
0.283 0.870 0.918 Cu